Density functional theory data (PBE) for NbPb3S after structural relaxation.

Properties
- Space group: Pm-3m (221)
- Excess energy over the best structure of this formula in the dataset: 310 meV per atom
- Volume: 30.48 Å³ per atom
- Uncorrected formation energy: 4.7 eV/f.u.

```
NbPb3S
1.0
5.341 0.000 0.000
0.000 5.341 0.000
0.000 0.000 5.341
Nb Pb S
1 3 1
direct
0.000 0.000 0.000 Nb
0.000 0.500 0.500 Pb
0.500 0.000 0.500 Pb
0.500 0.500 0.000 Pb
0.500 0.500 0.500 S
```